--- 1 ---
This record from Alexandria describes YZnGa2Pd after structural relaxation. The functional is GGA-PBE.

Computed properties:
V ... 22.74 A^3/atom
SG ... P4/mmm

Structure (POSCAR):
```
YZnGa2Pd
1.0
4.5758 0.0000 0.0000
0.0000 4.5758 0.0000
0.0000 0.0000 5.4311
Y Zn Ga Pd
1 1 2 1
Cartesian
0.0000 0.0000 0.0000
0.0000 0.0000 2.7156
0.0000 2.2879 2.7156
2.2879 0.0000 2.7156
2.2879 2.2879 0.0000
```

--- 2 ---
This record from Alexandria describes YZnGa2Pd after structural relaxation. The functional is GGA-PBE.

Computed properties:
V ... 18.54 A^3/atom
SG ... I-4m2

Structure (POSCAR):
```
YZnGa2Pd
1.0
-2.0893 2.0893 5.3079
2.0893 -2.0893 5.3079
2.0893 2.0893 -5.3079
Y Zn Ga Pd
1 1 2 1
Cartesian
0.0000 0.0000 0.0000
2.0893 0.0000 2.6539
0.0000 0.0000 4.0827
0.0000 0.0000 6.5331
0.0000 2.0893 2.6539
```

Of them, 2 has the highest stability.

--- 1 ---
This record from Alexandria describes Zn2Ga2Pd after structural relaxation. The functional is GGA-PBE.

Computed properties:
V ... 16.84 A^3/atom
SG ... I4/mmm

Structure (POSCAR):
```
Zn2Ga2Pd
1.0
-1.7541 1.7541 6.8416
1.7541 -1.7541 6.8416
1.7541 1.7541 -6.8416
Zn Ga Pd
2 2 1
Cartesian
1.7541 0.0000 3.4208
0.0000 1.7541 3.4208
0.0000 0.0000 1.3099
0.0000 0.0000 12.3733
0.0000 0.0000 6.8416
```

--- 2 ---
This record from Alexandria describes Zn2Ga2Pd after structural relaxation. The functional is GGA-PBE.

Computed properties:
V ... 16.69 A^3/atom
SG ... P4/mbm

Structure (POSCAR):
```
Zn2Ga2Pd
1.0
6.7657 0.0000 0.0000
0.0000 6.7657 0.0000
0.0000 0.0000 3.6463
Zn Ga Pd
4 4 2
Cartesian
0.9021 2.4808 0.0000
2.4808 5.8637 0.0000
4.2849 0.9021 0.0000
5.8637 4.2849 0.0000
1.1795 4.5623 1.8231
2.2034 1.1795 1.8231
4.5623 5.5863 1.8231
5.5863 2.2034 1.8231
0.0000 0.0000 0.0000
3.3829 3.3829 0.0000
```

Of them, 2 has the highest stability.

--- 1 ---
This record from Alexandria describes Zn2GaPd2 after structural relaxation. The functional is GGA-PBE.

Computed properties:
V ... 15.89 A^3/atom
SG ... I4/mmm

Structure (POSCAR):
```
Zn2GaPd2
1.0
-1.7145 1.7145 6.7553
1.7145 -1.7145 6.7553
1.7145 1.7145 -6.7553
Zn Ga Pd
2 1 2
Cartesian
1.7145 0.0000 3.3777
0.0000 1.7145 3.3777
0.0000 0.0000 0.0000
0.0000 0.0000 5.4146
0.0000 0.0000 8.0960
```

--- 2 ---
This record from Alexandria describes Zn2GaPd2 after structural relaxation. The functional is GGA-PBE.

Computed properties:
V ... 15.55 A^3/atom
SG ... P4/mbm

Structure (POSCAR):
```
Zn2GaPd2
1.0
7.2809 0.0000 0.0000
0.0000 7.2809 0.0000
0.0000 0.0000 2.9340
Zn Ga Pd
4 2 4
Cartesian
0.9538 2.6867 0.0000
2.6867 6.3271 0.0000
4.5943 0.9538 0.0000
6.3271 4.5943 0.0000
0.0000 0.0000 0.0000
3.6405 3.6405 0.0000
1.2027 4.8431 1.4670
2.4378 1.2027 1.4670
4.8431 6.0782 1.4670
6.0782 2.4378 1.4670
```

Of them, 2 has the highest stability.

--- 1 ---
This record from Alexandria describes Zn2GaPd2 after structural relaxation. The functional is GGA-PBE.

Computed properties:
V ... 15.94 A^3/atom
SG ... P4/mbm

Structure (POSCAR):
```
Zn2GaPd2
1.0
6.6386 0.0000 0.0000
0.0000 6.6386 0.0000
0.0000 0.0000 3.6175
Zn Ga Pd
4 2 4
Cartesian
0.9590 2.3603 0.0000
2.3603 5.6795 0.0000
4.2783 0.9590 0.0000
5.6795 4.2783 0.0000
0.0000 0.0000 1.8087
3.3193 3.3193 1.8087
1.0321 4.3514 1.8087
2.2872 1.0321 1.8087
4.3514 5.6064 1.8087
5.6064 2.2872 1.8087
```

--- 2 ---
This record from Alexandria describes Zn2GaPd2 after structural relaxation. The functional is GGA-PBE.

Computed properties:
V ... 16.16 A^3/atom
SG ... P2_1/c

Structure (POSCAR):
```
Zn2GaPd2
1.0
8.8014 0.0000 0.0000
0.0000 6.5639 0.0000
-0.6334 0.0000 5.5939
Zn Ga Pd
8 4 8
Cartesian
0.0849 1.2753 0.0464
-0.2318 2.0067 2.8434
2.4643 1.6371 2.5908
2.1476 1.6448 5.3877
6.0204 4.9191 0.2062
5.7037 4.9268 3.0032
8.3998 4.5572 2.7505
8.0831 5.2887 5.5475
2.5263 4.8959 2.6311
2.2096 4.9500 5.4281
5.9584 1.6140 0.1658
5.6417 1.6680 2.9628
1.2139 3.3570 1.0572
0.8972 6.4889 3.8542
3.8755 0.0272 4.1805
4.1923 3.2547 1.3835
3.9757 3.3092 4.2104
4.2924 6.5367 1.4135
7.2708 0.0750 1.7398
6.9541 3.2070 4.5367
```

Of them, 1 has the highest stability.